Entry 1:
Entry from Alexandria: a geometry-optimized TiGaAu structure (PBE).

Cell and atoms, written as CIF:
```
data_TiGaAu
_cell_length_a 10.8708
_cell_length_b 3.1698
_cell_length_c 7.2139
_cell_angle_alpha 90.00
_cell_angle_beta 125.17
_cell_angle_gamma 90.00
_space_group_name_H-M_alt 'C 1 2/m 1'
_space_group_IT_number 12
_space_group_name_Hall '-C 2y'
loop_
_atom_site_label
_atom_site_type_symbol
_atom_site_fract_x
_atom_site_fract_y
_atom_site_fract_z
_atom_site_occupancy
Ti1 Ti 0.1079 0.0000 0.3430 1
Ga1 Ga 0.1333 0.5000 0.6717 1
Au1 Au 0.1410 0.5000 0.0419 1
```

## Properties
**Energy of formation**: -349.8 meV/atom
**M_tot**: 0.00 μB/cell

Entry 2:
Entry from Alexandria: a geometry-optimized TiGaAu2 structure (PBE).

Cell and atoms, written as CIF:
```
data_TiGaAu2
_cell_length_a 3.0934
_cell_length_b 3.0934
_cell_length_c 7.2892
_cell_angle_alpha 90.00
_cell_angle_beta 90.00
_cell_angle_gamma 90.00
_space_group_name_H-M_alt 'P 4/m m m'
_space_group_IT_number 123
_space_group_name_Hall '-P 4 2'
loop_
_atom_site_label
_atom_site_type_symbol
_atom_site_fract_x
_atom_site_fract_y
_atom_site_fract_z
_atom_site_occupancy
Ti1 Ti 0.0000 0.0000 0.0000 1
Ga1 Ga 0.0000 0.0000 0.5000 1
Au1 Au 0.5000 0.5000 0.2463 1
```

## Properties
**Energy of formation**: -288.3 meV/atom
**M_tot**: 0.90 μB/cell